i:
The following is a DFT calculation (GGA-PBE) of a geometry-optimized ZrTlCoPt structure.

```
data_ZrTlCoPt
_chemical_formula_sum 'Zr4 Tl4 Co4 Pt4'
_cell_length_a 6.5825
_cell_length_b 6.5825
_cell_length_c 6.5825
_cell_angle_alpha 90.00
_cell_angle_beta 90.00
_cell_angle_gamma 90.00
_symmetry_space_group_name_H-M 'F -4 3 m'
_symmetry_Int_Tables_number 216
_symmetry_space_group_name_Hall 'F -4 2 3'
loop_
_atom_site_label
_atom_site_type_symbol
_atom_site_fract_x
_atom_site_fract_y
_atom_site_fract_z
Zr1 Zr 0.0000 0.0000 0.0000
Tl1 Tl 0.2500 0.2500 0.2500
Co1 Co 0.0000 0.0000 0.5000
Pt1 Pt 0.2500 0.2500 0.7500
```

Values from the calculation:
- density (g cm⁻³) = 12.80

ii:
The following is a DFT calculation (GGA-PBE) of a geometry-optimized ZrTlCoPt structure.

```
data_ZrTlCoPt
_chemical_formula_sum 'Zr4 Tl4 Co4 Pt4'
_cell_length_a 6.5584
_cell_length_b 6.5584
_cell_length_c 6.5584
_cell_angle_alpha 90.00
_cell_angle_beta 90.00
_cell_angle_gamma 90.00
_symmetry_space_group_name_H-M 'F -4 3 m'
_symmetry_Int_Tables_number 216
_symmetry_space_group_name_Hall 'F -4 2 3'
loop_
_atom_site_label
_atom_site_type_symbol
_atom_site_fract_x
_atom_site_fract_y
_atom_site_fract_z
Zr1 Zr 0.0000 0.0000 0.0000
Tl1 Tl 0.0000 0.0000 0.5000
Co1 Co 0.2500 0.2500 0.7500
Pt1 Pt 0.2500 0.2500 0.2500
```

Values from the calculation:
- density (g cm⁻³) = 12.94

The structure with the most favorable energy is ii; the runner-up is 20.1 kJ/mol of atoms above it.